No. 1
# Cr2MoW, relaxed, DFT GGA-PBEsol
data_Cr2MoW
_chemical_formula_sum 'Cr8 Mo4 W4'
_space_group_name_H-M_alt 'F -4 3 m'
_space_group_IT_number 216
_space_group_name_Hall 'F -4 2 3'
_cell_length_a 5.9908
_cell_length_b 5.9908
_cell_length_c 5.9908
_cell_angle_alpha 90.00
_cell_angle_beta 90.00
_cell_angle_gamma 90.00
loop_
_atom_site_label
_atom_site_type_symbol
_atom_site_fract_x
_atom_site_fract_y
_atom_site_fract_z
Cr1 Cr 0.0000 0.0000 0.0000
Cr2 Cr 0.2500 0.2500 0.2500
Mo1 Mo 0.2500 0.2500 0.7500
W1 W 0.0000 0.0000 0.5000
# DFT total energy (eV/atom): -11.4127
# ρ (g cm⁻³): 11.86
# Calculated formation energy (kJ per mole of atoms): 9.9
# Spin magnetization (Bohr magnetons per cell): 0.0
# V (Å³ per atom): 13.438
# D(E_F) (states/eV/atom): 0.5236

No. 2
# LiZrCd2, relaxed, DFT GGA-PBEsol
data_LiZrCd2
_chemical_formula_sum 'Li1 Zr1 Cd2'
_space_group_name_H-M_alt 'P m m m'
_space_group_IT_number 47
_cell_length_a 3.0732
_cell_length_b 3.2175
_cell_length_c 7.5784
_cell_angle_alpha 90.00
_cell_angle_beta 90.00
_cell_angle_gamma 90.00
loop_
_space_group_symop_operation_xyz
'x,y,z'
'-x,-y,-z'
'-x,-y,z'
'x,y,-z'
'x,-y,-z'
'-x,y,z'
'-x,y,-z'
'x,-y,z'
loop_
_atom_site_label
_atom_site_type_symbol
_atom_site_fract_x
_atom_site_fract_y
_atom_site_fract_z
Li1 Li 0.0000 0.0000 0.0000
Zr1 Zr 0.0000 0.0000 0.5000
Cd1 Cd 0.5000 0.5000 0.2206
# DFT total energy (eV/atom): -3.5601
# ρ (g cm⁻³): 7.16
# Calculated formation energy (kJ per mole of atoms): -19.1
# Spin magnetization (Bohr magnetons per cell): 0.0
# V (Å³ per atom): 18.733
# D(E_F) (states/eV/atom): 0.6928

No. 3
# SrAlF3, relaxed, DFT GGA-PBEsol
data_SrAlF3
_chemical_formula_sum 'Sr1 Al1 F3'
_space_group_name_H-M_alt 'P m -3 m'
_space_group_IT_number 221
_space_group_name_Hall '-P 4 2 3'
_cell_length_a 4.6654
_cell_length_b 4.6654
_cell_length_c 4.6654
_cell_angle_alpha 90.00
_cell_angle_beta 90.00
_cell_angle_gamma 90.00
loop_
_atom_site_label
_atom_site_type_symbol
_atom_site_fract_x
_atom_site_fract_y
_atom_site_fract_z
Sr1 Sr 0.0000 0.0000 0.0000
Al1 Al 0.5000 0.5000 0.5000
F1 F 0.0000 0.0000 0.5000
# DFT total energy (eV/atom): -4.8772
# ΔE_f (raw) (eV per atom): -2.53
# ρ (g cm⁻³): 2.81
# Spin magnetization (Bohr magnetons per cell): 0.0
# V (Å³ per atom): 20.309
# D(E_F) (states/eV/atom): 0.0000

No. 4
# Mo3PC, relaxed, DFT GGA-PBEsol
data_Mo3PC
_chemical_formula_sum 'Mo3 P1 C1'
_space_group_name_H-M_alt 'P m -3 m'
_space_group_IT_number 221
_space_group_name_Hall '-P 4 2 3'
_cell_length_a 4.0546
_cell_length_b 4.0546
_cell_length_c 4.0546
_cell_angle_alpha 90.00
_cell_angle_beta 90.00
_cell_angle_gamma 90.00
loop_
_atom_site_label
_atom_site_type_symbol
_atom_site_fract_x
_atom_site_fract_y
_atom_site_fract_z
Mo1 Mo 0.0000 0.0000 0.5000
P1 P 0.5000 0.5000 0.5000
C1 C 0.0000 0.0000 0.0000
# DFT total energy (eV/atom): -9.9246
# ρ (g cm⁻³): 8.24
# Calculated formation energy (kJ per mole of atoms): 21.5
# Spin magnetization (Bohr magnetons per cell): 0.0
# V (Å³ per atom): 13.332
# D(E_F) (states/eV/atom): 0.6569

No. 5
# Ba2HoB2ClO6, relaxed, DFT GGA-PBEsol
data_Ba2HoB2ClO6
_chemical_formula_sum 'Ba4 Ho2 B4 Cl2 O12'
_space_group_name_H-M_alt 'P 1 21/m 1'
_space_group_IT_number 11
_cell_length_a 6.3806
_cell_length_b 5.2809
_cell_length_c 11.2636
_cell_angle_alpha 90.00
_cell_angle_beta 96.52
_cell_angle_gamma 90.00
loop_
_space_group_symop_operation_xyz
'x,y,z'
'-x,-y,-z'
'-x,y+1/2,-z'
'x,-y+1/2,z'
loop_
_atom_site_label
_atom_site_type_symbol
_atom_site_fract_x
_atom_site_fract_y
_atom_site_fract_z
Ba1 Ba 0.0916 0.2500 0.2055
Ba2 Ba 0.3423 0.2500 0.5750
Ho1 Ho 0.3488 0.2500 0.9135
B1 B 0.2097 0.7500 0.0725
B2 B 0.3775 0.7500 0.7265
Cl1 Cl 0.1493 0.7500 0.4149
O1 O 0.0050 0.7500 0.0949
O2 O 0.2921 0.5259 0.7640
O3 O 0.3255 0.5287 0.0645
O4 O 0.4742 0.2500 0.3537
# DFT total energy (eV/atom): -7.6836
# ΔE_f (raw) (eV per atom): -2.95
# ρ (g cm⁻³): 5.22
# Spin magnetization (Bohr magnetons per cell): 0.0
# V (Å³ per atom): 15.711
# D(E_F) (states/eV/atom): 0.0000

No. 6
# TlTePb2, relaxed, DFT GGA-PBEsol
data_TlTePb2
_chemical_formula_sum 'Tl2 Te2 Pb4'
_space_group_name_H-M_alt 'I m m m'
_space_group_IT_number 71
_space_group_name_Hall '-I 2 2'
_cell_length_a 4.0521
_cell_length_b 5.4442
_cell_length_c 10.8294
_cell_angle_alpha 90.00
_cell_angle_beta 90.00
_cell_angle_gamma 90.00
loop_
_atom_site_label
_atom_site_type_symbol
_atom_site_fract_x
_atom_site_fract_y
_atom_site_fract_z
Tl1 Tl 0.0000 0.0000 0.0000
Te1 Te 0.0000 0.0000 0.5000
Pb1 Pb 0.0000 0.5000 0.2308
# DFT total energy (eV/atom): -3.6165
# ΔE_f (raw) (eV per atom): -0.08
# ρ (g cm⁻³): 10.38
# Spin magnetization (Bohr magnetons per cell): 0.0
# V (Å³ per atom): 29.863
# D(E_F) (states/eV/atom): 0.4541

What did the fifth record say?
# Ba2HoB2ClO6, relaxed, DFT GGA-PBEsol
data_Ba2HoB2ClO6
_chemical_formula_sum 'Ba4 Ho2 B4 Cl2 O12'
_space_group_name_H-M_alt 'P 1 21/m 1'
_space_group_IT_number 11
_cell_length_a 6.3806
_cell_length_b 5.2809
_cell_length_c 11.2636
_cell_angle_alpha 90.00
_cell_angle_beta 96.52
_cell_angle_gamma 90.00
loop_
_space_group_symop_operation_xyz
'x,y,z'
'-x,-y,-z'
'-x,y+1/2,-z'
'x,-y+1/2,z'
loop_
_atom_site_label
_atom_site_type_symbol
_atom_site_fract_x
_atom_site_fract_y
_atom_site_fract_z
Ba1 Ba 0.0916 0.2500 0.2055
Ba2 Ba 0.3423 0.2500 0.5750
Ho1 Ho 0.3488 0.2500 0.9135
B1 B 0.2097 0.7500 0.0725
B2 B 0.3775 0.7500 0.7265
Cl1 Cl 0.1493 0.7500 0.4149
O1 O 0.0050 0.7500 0.0949
O2 O 0.2921 0.5259 0.7640
O3 O 0.3255 0.5287 0.0645
O4 O 0.4742 0.2500 0.3537
# DFT total energy (eV/atom): -7.6836
# ΔE_f (raw) (eV per atom): -2.95
# ρ (g cm⁻³): 5.22
# Spin magnetization (Bohr magnetons per cell): 0.0
# V (Å³ per atom): 15.711
# D(E_F) (states/eV/atom): 0.0000

Q: What is the ρ in the sixth record?
A: 10.38 g cm⁻³

Q: What is the ρ in the second record?
A: 7.16 g cm⁻³